1.
KDyCdTe3 after structural relaxation, computed with PBE.

Properties
Symmetry = Pnma
VASP energy = -3.7160 eV/atom
Density = 5725 kg/m³

Unit cell a=11.9229 b=4.5338 c=14.9561 alpha=90.00 beta=90.00 gamma=90.00
Fractional coordinates of all 24 atoms:
1 K 0.2256 0.2500 0.0090
2 K 0.2744 0.7500 0.5090
3 K 0.7256 0.2500 0.4910
4 K 0.7744 0.7500 0.9910
5 Dy 0.0149 0.7500 0.7430
6 Dy 0.4851 0.2500 0.2430
7 Dy 0.5149 0.7500 0.7570
8 Dy 0.9851 0.2500 0.2570
9 Cd 0.2389 0.7500 0.2154
10 Cd 0.2611 0.2500 0.7154
11 Cd 0.7389 0.7500 0.2846
12 Cd 0.7611 0.2500 0.7846
13 Te 0.0352 0.7500 0.1202
14 Te 0.0681 0.2500 0.6073
15 Te 0.2365 0.2500 0.3316
16 Te 0.2635 0.7500 0.8316
17 Te 0.4319 0.7500 0.1073
18 Te 0.4648 0.2500 0.6202
19 Te 0.5352 0.7500 0.3798
20 Te 0.5681 0.2500 0.8927
21 Te 0.7365 0.2500 0.1684
22 Te 0.7635 0.7500 0.6684
23 Te 0.9319 0.7500 0.3927
24 Te 0.9648 0.2500 0.8798

2.
HfCoBi after structural relaxation, computed with PBE.

Properties
Symmetry = P6_3mc
VASP energy = -7.2072 eV/atom
Density = 12828 kg/m³

Unit cell a=4.3421 b=4.3421 c=7.0780 alpha=90.00 beta=90.00 gamma=120.00
Fractional coordinates of all 6 atoms:
1 Hf 0.0000 0.0000 0.0000
2 Hf 0.0000 0.0000 0.5000
3 Co 0.3333 0.6667 0.3773
4 Co 0.6667 0.3333 0.8773
5 Bi 0.3333 0.6667 0.7508
6 Bi 0.6667 0.3333 0.2508

3.
PmPrU after structural relaxation, computed with PBE.

Properties
Symmetry = F-43m
Formation energy = 1.237 eV per atom
VASP energy = -5.7014 eV/atom
Density = 8134 kg/m³

Unit cell a=5.3281 b=5.3281 c=5.3281 alpha=60.00 beta=60.00 gamma=60.00
Fractional coordinates of all 3 atoms:
1 Pm 0.0000 0.0000 0.0000
2 Pr 0.5000 0.5000 0.5000
3 U 0.2500 0.2500 0.2500

4.
Hf4Ge3W2C3 after structural relaxation, computed with PBE.

Properties
Symmetry = C2/c
VASP energy = -9.4944 eV/atom
Density = 12380 kg/m³

Unit cell a=5.6166 b=5.6166 c=13.4731 alpha=102.02 beta=102.02 gamma=60.29
Fractional coordinates of all 24 atoms:
1 Hf 0.0358 0.1960 0.0979
2 Hf 0.1309 0.3004 0.4022
3 Hf 0.1960 0.0358 0.5979
4 Hf 0.3004 0.1309 0.9022
5 Hf 0.6996 0.8691 0.0978
6 Hf 0.8040 0.9642 0.4021
7 Hf 0.8691 0.6996 0.5978
8 Hf 0.9642 0.8040 0.9021
9 Ge 0.1278 0.8722 0.2500
10 Ge 0.2874 0.4176 0.7503
11 Ge 0.4176 0.2874 0.2503
12 Ge 0.5824 0.7126 0.7497
13 Ge 0.7126 0.5824 0.2497
14 Ge 0.8722 0.1278 0.7500
15 W 0.3544 0.5269 0.0822
16 W 0.4731 0.6456 0.4178
17 W 0.5269 0.3544 0.5822
18 W 0.6456 0.4731 0.9178
19 C 0.0000 0.5000 0.0000
20 C 0.1678 0.6661 0.5000
21 C 0.3339 0.8322 0.0000
22 C 0.5000 0.0000 0.5000
23 C 0.6661 0.1678 0.0000
24 C 0.8322 0.3339 0.5000

5.
RbIr3S5 after structural relaxation, computed with PBE.

Properties
Symmetry = P6/mmm
VASP energy = -5.6034 eV/atom
Density = 6800 kg/m³

Unit cell a=5.7421 b=5.7421 c=7.0330 alpha=90.00 beta=90.00 gamma=120.00
Fractional coordinates of all 9 atoms:
1 Rb 0.0000 0.0000 0.0000
2 Ir 0.0000 0.5000 0.5000
3 Ir 0.5000 0.0000 0.5000
4 Ir 0.5000 0.5000 0.5000
5 S 0.0000 0.0000 0.5000
6 S 0.3333 0.6667 0.2617
7 S 0.3333 0.6667 0.7383
8 S 0.6667 0.3333 0.2617
9 S 0.6667 0.3333 0.7383

6.
Mg3Re2Ag2 after structural relaxation, computed with PBE.

Properties
Symmetry = R3m
VASP energy = -4.1268 eV/atom
Density = 8679 kg/m³

Unit cell a=7.6359 b=7.6359 c=7.6359 alpha=34.36 beta=34.36 gamma=34.36
Fractional coordinates of all 7 atoms:
1 Mg 0.0000 0.0000 0.0000
2 Mg 0.2537 0.2537 0.2537
3 Mg 0.7449 0.7449 0.7449
4 Re 0.3849 0.3849 0.3849
5 Re 0.8686 0.8686 0.8686
6 Ag 0.1303 0.1303 0.1303
7 Ag 0.6154 0.6154 0.6154

7.
NaFePt after structural relaxation, computed with PBE.

Properties
Symmetry = F-43m
VASP energy = -4.2276 eV/atom
Density = 8126 kg/m³

Unit cell a=4.2938 b=4.2938 c=4.2938 alpha=60.00 beta=60.00 gamma=60.00
Fractional coordinates of all 3 atoms:
1 Na 0.0000 0.0000 0.0000
2 Fe 0.7500 0.7500 0.7500
3 Pt 0.2500 0.2500 0.2500

8.
KHoCdTe3 after structural relaxation, computed with PBE.

Properties
Symmetry = P2_1/m
VASP energy = -3.7113 eV/atom
Density = 5377 kg/m³

Unit cell a=9.1663 b=4.4866 c=11.0352 alpha=90.00 beta=107.90 gamma=90.00
Fractional coordinates of all 12 atoms:
1 K 0.2364 0.2500 0.2683
2 K 0.7636 0.7500 0.7317
3 Ho 0.3207 0.7500 0.8642
4 Ho 0.6793 0.2500 0.1358
5 Cd 0.0804 0.2500 0.6103
6 Cd 0.9196 0.7500 0.3897
7 Te 0.0850 0.2500 0.8653
8 Te 0.2465 0.7500 0.5532
9 Te 0.4554 0.7500 0.1510
10 Te 0.5446 0.2500 0.8490
11 Te 0.7535 0.2500 0.4468
12 Te 0.9150 0.7500 0.1347